A plane-wave DFT calculation with PBE-GGA was carried out for a relaxed structure of ErCo6Ge4.

## Properties
As for the uncorrected energy: -69.8 eV per cell.

```
ErCo6Ge4
1.0
-2.675 -0.280 6.227
6.697 -0.662 -0.847
0.403 3.646 0.337
Co Er Ge
6 1 4
Cartesian
2.022 1.211 4.617
2.340 -0.484 2.442
0.478 1.572 2.553
4.984 -0.745 2.107
3.396 -0.374 -0.017
-0.548 1.465 4.942
0.000 0.000 0.000
2.284 1.512 1.049
3.962 1.119 3.293
0.449 -0.407 3.869
5.078 1.236 0.696
```